Record 1
A plane-wave DFT calculation with GGA-PBE was carried out for a geometry-optimized BaMgGa3 structure.

Geometry as POSCAR:
```
BaMgGa3
1.0
5.9987 0.0000 0.0000
0.0000 5.9987 0.0000
0.0000 0.0000 5.9987
Ba Mg Ga
1 1 3
Direct
0.0000 0.0000 0.0000 Ba
0.5000 0.5000 0.5000 Mg
0.0000 0.0000 0.5000 Ga
0.0000 0.5000 0.0000 Ga
0.5000 0.0000 0.0000 Ga
```

## Properties
crystal system = cubic
SG = Pm-3m (221)

---

Record 2
A plane-wave DFT calculation with GGA-PBE was carried out for a geometry-optimized BaMg4Ga2 structure.

Geometry as POSCAR:
```
BaMg4Ga2
1.0
2.3419 -8.0623 0.0000
2.3419 8.0623 0.0000
0.0000 0.0000 4.6940
Ba Mg Ga
1 4 2
Direct
0.0000 0.0000 0.0000 Ba
0.1819 0.8181 0.5000 Mg
0.3178 0.6822 0.0000 Mg
0.6822 0.3178 0.0000 Mg
0.8181 0.1819 0.5000 Mg
0.4171 0.5829 0.5000 Ga
0.5829 0.4171 0.5000 Ga
```

## Properties
crystal system = orthorhombic
SG = Cmmm (65)

---

Record 3
A plane-wave DFT calculation with GGA-PBE was carried out for a geometry-optimized Ba2MgGa2 structure.

Geometry as POSCAR:
```
Ba2MgGa2
1.0
5.7781 -2.6314 0.0000
5.7781 2.6314 0.0000
-5.2461 0.0000 10.6312
Ba Mg Ga
4 2 4
Direct
0.0920 0.0920 0.3833 Ba
0.3102 0.3102 0.8254 Ba
0.6898 0.6898 0.1746 Ba
0.9080 0.9080 0.6167 Ba
0.3613 0.3613 0.1371 Mg
0.6387 0.6387 0.8629 Mg
0.0765 0.0765 0.9455 Ga
0.4000 0.4000 0.3963 Ga
0.6000 0.6000 0.6037 Ga
0.9235 0.9235 0.0545 Ga
```

## Properties
ΔE to the lowest computed polymorph = 0 meV/atom
crystal system = monoclinic
SG = C2/m (12)

---

Record 4
A plane-wave DFT calculation with GGA-PBE was carried out for a geometry-optimized BaMg6Ga structure.

Geometry as POSCAR:
```
BaMg6Ga
1.0
4.9660 0.0000 0.0000
0.0000 3.0760 7.1850
0.0000 -3.0760 7.1850
Ba Mg Ga
1 6 1
Direct
0.0000 0.0000 0.0000 Ba
0.0000 0.4912 0.9695 Mg
0.0000 0.9695 0.4912 Mg
0.5000 0.1174 0.6113 Mg
0.5000 0.1726 0.1726 Mg
0.5000 0.5873 0.5873 Mg
0.5000 0.6113 0.1174 Mg
0.0000 0.3970 0.3970 Ga
```

## Properties
ΔE to the lowest computed polymorph = 0 meV/atom
crystal system = orthorhombic
SG = Amm2 (38)

---

Record 5
A plane-wave DFT calculation with GGA-PBE was carried out for a geometry-optimized BaMg2Ga6 structure.

Geometry as POSCAR:
```
BaMg2Ga6
1.0
8.2000 0.0000 0.0000
-4.1000 7.1014 0.0000
0.0000 0.0000 3.4009
Ba Mg Ga
1 2 6
Direct
0.0000 0.0000 0.0000 Ba
0.3333 0.6667 0.0000 Mg
0.6667 0.3333 0.0000 Mg
0.0000 0.3465 0.5000 Ga
0.0000 0.6535 0.5000 Ga
0.3465 0.0000 0.5000 Ga
0.3465 0.3465 0.5000 Ga
0.6535 0.0000 0.5000 Ga
0.6535 0.6535 0.5000 Ga
```

## Properties
ΔE to the lowest computed polymorph = 122 meV/atom
crystal system = hexagonal
SG = P6/mmm (191)

---

Record 6
A plane-wave DFT calculation with GGA-PBE was carried out for a geometry-optimized Ba3Mg2Ga4 structure.

Geometry as POSCAR:
```
Ba3Mg2Ga4
1.0
6.2748 -2.3059 0.0000
6.2748 2.3059 0.0000
-1.4070 0.0000 9.7925
Ba Mg Ga
3 2 4
Direct
0.0000 0.0000 0.0000 Ba
0.3846 0.3846 0.6074 Ba
0.6154 0.6154 0.3926 Ba
0.3207 0.3207 0.2033 Mg
0.6793 0.6793 0.7967 Mg
0.1095 0.1095 0.6686 Ga
0.2829 0.2829 0.9177 Ga
0.7171 0.7171 0.0823 Ga
0.8905 0.8905 0.3314 Ga
```

## Properties
ΔE to the lowest computed polymorph = 2 meV/atom
crystal system = monoclinic
SG = C2/m (12)

---

Record 7
A plane-wave DFT calculation with GGA-PBE was carried out for a geometry-optimized Ba8MgGa2 structure.

Geometry as POSCAR:
```
Ba8MgGa2
1.0
6.1031 0.0000 0.0000
-0.0014 8.4342 0.0000
-3.0510 -4.2071 9.7890
Ba Mg Ga
8 1 2
Direct
0.0000 0.0000 0.0000 Ba
0.0506 0.5077 0.1017 Ba
0.2091 0.3017 0.4215 Ba
0.3707 0.8277 0.7417 Ba
0.4217 0.4217 0.8436 Ba
0.6023 0.9209 0.2057 Ba
0.7096 0.6005 0.4219 Ba
0.8181 0.1371 0.6375 Ba
0.2093 0.8874 0.4213 Mg
0.5510 0.2616 0.1009 Ga
0.8716 0.5831 0.7432 Ga
```

## Properties
crystal system = triclinic
SG = P1 (1)

---

Record 8
A plane-wave DFT calculation with GGA-PBE was carried out for a geometry-optimized BaMg2Ga structure.

Geometry as POSCAR:
```
BaMg2Ga
1.0
4.6670 0.0000 0.0000
0.0000 4.6670 0.0000
0.0000 0.0000 11.0768
Ba Mg Ga
2 4 2
Direct
0.2500 0.2500 0.2438 Ba
0.7500 0.7500 0.7562 Ba
0.2500 0.2500 0.9196 Mg
0.2500 0.7500 0.5000 Mg
0.7500 0.2500 0.5000 Mg
0.7500 0.7500 0.0804 Mg
0.2500 0.2500 0.6495 Ga
0.7500 0.7500 0.3505 Ga
```

## Properties
ΔE to the lowest computed polymorph = 46 meV/atom
crystal system = tetragonal
SG = P4/nmm (129)

---

Record 9
A plane-wave DFT calculation with GGA-PBE was carried out for a geometry-optimized BaMg5Ga3 structure.

Geometry as POSCAR:
```
BaMg5Ga3
1.0
2.2434 -7.1954 0.0000
2.2434 7.1954 0.0000
0.0000 0.0000 13.8322
Ba Mg Ga
2 10 6
Direct
0.1610 0.8390 0.7500 Ba
0.8390 0.1610 0.2500 Ba
0.0000 0.0000 0.0000 Mg
0.0000 0.0000 0.5000 Mg
0.1961 0.8039 0.0593 Mg
0.1961 0.8039 0.4407 Mg
0.4383 0.5617 0.6447 Mg
0.4383 0.5617 0.8553 Mg
0.5617 0.4383 0.1447 Mg
0.5617 0.4383 0.3553 Mg
0.8039 0.1961 0.5593 Mg
0.8039 0.1961 0.9407 Mg
0.1241 0.8759 0.2500 Ga
0.3873 0.6127 0.0550 Ga
0.3873 0.6127 0.4450 Ga
0.6127 0.3873 0.5550 Ga
0.6127 0.3873 0.9450 Ga
0.8759 0.1241 0.7500 Ga
```

## Properties
crystal system = orthorhombic
SG = Cmcm (63)

---

Record 10
A plane-wave DFT calculation with GGA-PBE was carried out for a geometry-optimized BaMgGa3 structure.

Geometry as POSCAR:
```
BaMgGa3
1.0
3.2595 -3.2524 0.0000
3.2595 3.2524 0.0000
-3.2466 0.0000 5.7396
Ba Mg Ga
1 1 3
Direct
0.0000 0.0000 0.0000 Ba
0.2497 0.7503 0.5000 Mg
0.3851 0.3854 0.7708 Ga
0.6146 0.6149 0.2292 Ga
0.7507 0.2493 0.5000 Ga
```

## Properties
crystal system = monoclinic
SG = C2 (5)

---

Record 11
A plane-wave DFT calculation with GGA-PBE was carried out for a geometry-optimized Ba3MgGa structure.

Geometry as POSCAR:
```
Ba3MgGa
1.0
6.4710 0.0000 0.0000
0.0000 6.4710 0.0000
0.0000 0.0000 6.4710
Ba Mg Ga
3 1 1
Direct
0.0000 0.0000 0.5000 Ba
0.0000 0.5000 0.0000 Ba
0.5000 0.0000 0.0000 Ba
0.5000 0.5000 0.5000 Mg
0.0000 0.0000 0.0000 Ga
```

## Properties
ΔE to the lowest computed polymorph = 232 meV/atom
crystal system = cubic
SG = Pm-3m (221)

---

Record 12
A plane-wave DFT calculation with GGA-PBE was carried out for a geometry-optimized Ba4MgGa3 structure.

Geometry as POSCAR:
```
Ba4MgGa3
1.0
4.7553 0.0000 0.0000
0.0000 5.3794 0.0000
0.0000 0.0000 11.7491
Ba Mg Ga
4 1 3
Direct
0.0000 0.0000 0.0000 Ba
0.0000 0.5000 0.4793 Ba
0.5000 0.0000 0.6983 Ba
0.5000 0.5000 0.1993 Ba
0.0000 0.5000 0.7986 Mg
0.0000 0.0000 0.2915 Ga
0.5000 0.0000 0.3959 Ga
0.5000 0.5000 0.9061 Ga
```

## Properties
crystal system = orthorhombic
SG = Pmm2 (25)

---

The calculation returns the following E_form values, one per record and in order: 458, -164, -152, -6, -110, -259, -116, -72, -188, -192, 36, -200 kJ/mol of formula units.